First-principles (PBE) data for a relaxed Ca2MgI crystal, as listed in the Alexandria database.

* E: -2.276 eV/atom
* formation energy without anion corrections: -489 meV/atom
* relative energy among the computed polymorphs: 0.0000 eV per atom

Cell lengths 3.867, 3.867, 8.880 Å; angles 90.00, 90.00, 90.00 degrees
Space group P4/mmm (No. 123)
Unique sites:
Ca 0.000 0.000 0.236
Mg 0.500 0.500 0.000
I 0.500 0.500 0.500